# GGA-PBE YMoRu, optimized geometry
data_YMoRu
_chemical_formula_sum 'Y4 Mo4 Ru4'
_space_group_name_H-M_alt 'F -4 3 m'
_space_group_IT_number 216
_space_group_name_Hall 'F -4 2 3'
_cell_length_a 6.4085
_cell_length_b 6.4085
_cell_length_c 6.4085
_cell_angle_alpha 90.00
_cell_angle_beta 90.00
_cell_angle_gamma 90.00
loop_
_atom_site_label
_atom_site_fract_x
_atom_site_fract_y
_atom_site_fract_z
_atom_site_occupancy
Y1 0.0000 0.0000 0.0000 1
Mo1 0.2500 0.2500 0.2500 1
Ru1 0.2500 0.2500 0.7500 1
# - total moment (μB per formula unit) = 2.2
# - energy of formation (kJ per mole of atoms) = 138